DFT (PBE) results for crystalline Dy2PBr3 at its relaxed geometry.

Results
- Formation energy (no corrections): -1.63 eV/atom
- D(E_F): 0.000 states/eV per atom
- Total DFT energy (no corrections): -4.91 eV/atom

Lattice parameters (Å, degrees): 4.2701 8.8415 10.6753 79.02 78.46 76.03
Atoms (fractional coordinates):
1 Dy 0.8636 0.4540 0.8187
2 Dy 0.1364 0.5460 0.1813
3 Dy 0.6020 0.2520 0.5440
4 Dy 0.3980 0.7480 0.4560
5 P 0.4108 0.5143 0.6642
6 P 0.5892 0.4857 0.3358
7 Br 0.0549 0.1489 0.7413
8 Br 0.9451 0.8511 0.2587
9 Br 0.6613 0.6915 0.9859
10 Br 0.3387 0.3085 0.0141
11 Br 0.7644 0.8659 0.6054
12 Br 0.2356 0.1341 0.3946